(1)
The following is a DFT calculation (PBE-GGA) of a relaxed Sr3Te2O9 crystal.

Output
Uncorrected formation energy (kJ/mol of formula units): -2569
Mass density (g cm⁻³): 5.5
Electronic total energy (eV per atom): -5.90
Total moment (μB per formula unit): 0.000

```
data_Sr3Te2O9
_cell_length_a 9.9096
_cell_length_b 9.9096
_cell_length_c 14.0809
_cell_angle_alpha 90.00
_cell_angle_beta 90.00
_cell_angle_gamma 120.00
_space_group_name_H-M_alt 'R -3 c'
_space_group_IT_number 167
_space_group_name_Hall '-R 3 2"c'
loop_
_atom_site_label
_atom_site_type_symbol
_atom_site_fract_x
_atom_site_fract_y
_atom_site_fract_z
Sr1 Sr 0.0004 0.3333 0.0833
Te1 Te 0.0000 0.0000 0.1469
O1 O 0.0000 0.1486 0.2500
O2 O 0.0052 0.1756 0.9086
```

(2)
The following is a DFT calculation (PBE-GGA) of a relaxed SrTeO3 crystal.

Output
Uncorrected formation energy (kJ/mol of formula units): -819
Mass density (g cm⁻³): 5.7
Electronic total energy (eV per atom): -5.64
Total moment (μB per formula unit): 0.000

```
data_SrTeO3
_cell_length_a 4.2425
_cell_length_b 4.2425
_cell_length_c 4.2425
_cell_angle_alpha 90.00
_cell_angle_beta 90.00
_cell_angle_gamma 90.00
_space_group_name_H-M_alt 'P m -3 m'
_space_group_IT_number 221
_space_group_name_Hall '-P 4 2 3'
loop_
_atom_site_label
_atom_site_type_symbol
_atom_site_fract_x
_atom_site_fract_y
_atom_site_fract_z
Sr1 Sr 0.0000 0.0000 0.0000
Te1 Te 0.5000 0.5000 0.5000
O1 O 0.0000 0.5000 0.5000
```

(3)
The following is a DFT calculation (PBE-GGA) of a relaxed SrTeO2 crystal.

Output
Uncorrected formation energy (kJ/mol of formula units): -654
Mass density (g cm⁻³): 5.3
Electronic total energy (eV per atom): -5.38
Total moment (μB per formula unit): 0.000

```
data_SrTeO2
_cell_length_a 3.6392
_cell_length_b 3.6392
_cell_length_c 20.3016
_cell_angle_alpha 90.00
_cell_angle_beta 90.00
_cell_angle_gamma 120.00
_space_group_name_H-M_alt 'R -3 m'
_space_group_IT_number 166
_space_group_name_Hall '-R 3 2"'
loop_
_atom_site_label
_atom_site_type_symbol
_atom_site_fract_x
_atom_site_fract_y
_atom_site_fract_z
Sr1 Sr 0.0000 0.0000 0.0000
Te1 Te 0.0000 0.0000 0.5000
O1 O 0.0000 0.0000 0.3987
```

(4)
The following is a DFT calculation (PBE-GGA) of a relaxed SrTeO3 crystal.

Output
Uncorrected formation energy (kJ/mol of formula units): -55
Mass density (g cm⁻³): 5.0
Electronic total energy (eV per atom): -4.05
Total moment (μB per formula unit): 1.400

```
data_SrTeO3
_cell_length_a 4.4431
_cell_length_b 4.4431
_cell_length_c 4.4431
_cell_angle_alpha 90.00
_cell_angle_beta 90.00
_cell_angle_gamma 90.00
_space_group_name_H-M_alt 'P m -3 m'
_space_group_IT_number 221
_space_group_name_Hall '-P 4 2 3'
loop_
_atom_site_label
_atom_site_type_symbol
_atom_site_fract_x
_atom_site_fract_y
_atom_site_fract_z
Sr1 Sr 0.0000 0.0000 0.0000
Te1 Te 0.5000 0.5000 0.5000
O1 O 0.0000 0.0000 0.5000
```

(5)
The following is a DFT calculation (PBE-GGA) of a relaxed Sr12Te3O5 crystal.

Output
Uncorrected formation energy (kJ/mol of formula units): -3187
Mass density (g cm⁻³): 4.0
Electronic total energy (eV per atom): -4.37
Total moment (μB per formula unit): 0.001

```
data_Sr12Te3O5
_cell_length_a 17.1284
_cell_length_b 17.1284
_cell_length_c 17.1284
_cell_angle_alpha 90.00
_cell_angle_beta 90.00
_cell_angle_gamma 90.00
_space_group_name_H-M_alt 'I a -3 d'
_space_group_IT_number 230
_space_group_name_Hall '-I 4bd 2c 3'
loop_
_atom_site_label
_atom_site_type_symbol
_atom_site_fract_x
_atom_site_fract_y
_atom_site_fract_z
Sr1 Sr 0.0401 0.0447 0.6499
Te1 Te 0.0000 0.2500 0.1250
O1 O 0.0000 0.0000 0.0000
O2 O 0.0000 0.2500 0.3750
```

(6)
The following is a DFT calculation (PBE-GGA) of a relaxed SrTeO3 crystal.

Output
Uncorrected formation energy (kJ/mol of formula units): -946
Mass density (g cm⁻³): 4.6
Electronic total energy (eV per atom): -5.90
Total moment (μB per formula unit): 0.000

```
data_SrTeO3
_cell_length_a 28.5075
_cell_length_b 5.9859
_cell_length_c 29.0488
_cell_angle_alpha 90.00
_cell_angle_beta 113.89
_cell_angle_gamma 90.00
_space_group_name_H-M_alt 'C 1 2/c 1'
_space_group_IT_number 15
loop_
_space_group_symop_operation_xyz
'x,y,z'
'-x,-y,-z'
'-x,y,-z+1/2'
'x,-y,z+1/2'
'x+1/2,y+1/2,z'
'-x+1/2,-y+1/2,-z'
'-x+1/2,y+1/2,-z+1/2'
'x+1/2,-y+1/2,z+1/2'
loop_
_atom_site_label
_atom_site_type_symbol
_atom_site_fract_x
_atom_site_fract_y
_atom_site_fract_z
Sr1 Sr 0.0000 0.2295 0.2500
Sr2 Sr 0.0582 0.1981 0.5552
Sr3 Sr 0.0688 0.2548 0.6972
Sr4 Sr 0.1434 0.2888 0.1397
Sr5 Sr 0.1663 0.2589 0.2903
Sr6 Sr 0.2019 0.2441 0.5773
Sr7 Sr 0.2500 0.2500 0.0000
Te1 Te 0.0084 0.2784 0.1140
Te2 Te 0.0845 0.2130 0.8249
Te3 Te 0.1039 0.2462 0.0017
Te4 Te 0.1559 0.2473 0.4274
Te5 Te 0.1966 0.2289 0.7074
Te6 Te 0.2227 0.2300 0.8620
O1 O 0.0172 0.1233 0.8123
O2 O 0.0175 0.3675 0.1786
O3 O 0.0353 0.1778 0.9900
O4 O 0.0547 0.0371 0.1264
O5 O 0.0548 0.4944 0.1101
O6 O 0.0791 0.4715 0.7853
O7 O 0.0932 0.0066 0.7791
O8 O 0.1126 0.4674 0.5315
O9 O 0.1307 0.0671 0.0607
O10 O 0.1572 0.2801 0.6379
O11 O 0.1585 0.4504 0.7255
O12 O 0.1598 0.0272 0.2130
O13 O 0.1730 0.4517 0.9420
O14 O 0.1936 0.1850 0.3879
O15 O 0.1952 0.1066 0.4895
O16 O 0.2261 0.3247 0.0732
O17 O 0.2444 0.0211 0.8259
O18 O 0.2493 0.0094 0.1549
```

(7)
The following is a DFT calculation (PBE-GGA) of a relaxed SrTeO3 crystal.

Output
Uncorrected formation energy (kJ/mol of formula units): -946
Mass density (g cm⁻³): 4.9
Electronic total energy (eV per atom): -5.90
Total moment (μB per formula unit): 0.000

```
data_SrTeO3
_cell_length_a 6.9168
_cell_length_b 7.3085
_cell_length_c 8.7457
_cell_angle_alpha 90.00
_cell_angle_beta 125.78
_cell_angle_gamma 90.00
_space_group_name_H-M_alt 'P 1 21/c 1'
_space_group_IT_number 14
loop_
_space_group_symop_operation_xyz
'x,y,z'
'-x,-y,-z'
'-x,y+1/2,-z+1/2'
'x,-y+1/2,z+1/2'
loop_
_atom_site_label
_atom_site_type_symbol
_atom_site_fract_x
_atom_site_fract_y
_atom_site_fract_z
Sr1 Sr 0.1426 0.1241 0.3730
Te1 Te 0.3671 0.6653 0.5963
O1 O 0.0863 0.6891 0.9799
O2 O 0.2188 0.0320 0.9256
O3 O 0.4029 0.5786 0.8159
```

(8)
The following is a DFT calculation (PBE-GGA) of a relaxed Sr3TeO6 crystal.

Output
Uncorrected formation energy (kJ/mol of formula units): -2250
Mass density (g cm⁻³): 5.3
Electronic total energy (eV per atom): -6.13
Total moment (μB per formula unit): 0.000

```
data_Sr3TeO6
_cell_length_a 5.9214
_cell_length_b 6.1215
_cell_length_c 10.3265
_cell_angle_alpha 90.00
_cell_angle_beta 124.80
_cell_angle_gamma 90.00
_space_group_name_H-M_alt 'P 1 21/c 1'
_space_group_IT_number 14
loop_
_space_group_symop_operation_xyz
'x,y,z'
'-x,-y,-z'
'-x,y+1/2,-z+1/2'
'x,-y+1/2,z+1/2'
loop_
_atom_site_label
_atom_site_type_symbol
_atom_site_fract_x
_atom_site_fract_y
_atom_site_fract_z
Sr1 Sr 0.0000 0.0000 0.0000
Sr2 Sr 0.2606 0.0466 0.7468
Te1 Te 0.5000 0.0000 0.5000
O1 O 0.1820 0.0457 0.2816
O2 O 0.2770 0.6790 0.0440
O3 O 0.3915 0.2378 0.0630
```

(9)
The following is a DFT calculation (PBE-GGA) of a relaxed SrTe2O4 crystal.

Output
Uncorrected formation energy (kJ/mol of formula units): -996
Mass density (g cm⁻³): 4.8
Electronic total energy (eV per atom): -5.45
Total moment (μB per formula unit): 0.000

```
data_SrTe2O4
_cell_length_a 6.2966
_cell_length_b 6.3036
_cell_length_c 7.5882
_cell_angle_alpha 90.00
_cell_angle_beta 109.39
_cell_angle_gamma 90.00
_space_group_name_H-M_alt 'C 1 2/m 1'
_space_group_IT_number 12
loop_
_space_group_symop_operation_xyz
'x,y,z'
'-x,-y,-z'
'-x,y,-z'
'x,-y,z'
'x+1/2,y+1/2,z'
'-x+1/2,-y+1/2,-z'
'-x+1/2,y+1/2,-z'
'x+1/2,-y+1/2,z'
loop_
_atom_site_label
_atom_site_type_symbol
_atom_site_fract_x
_atom_site_fract_y
_atom_site_fract_z
Sr1 Sr 0.0000 0.0000 0.0000
Te1 Te 0.0767 0.5000 0.3311
O1 O 0.1143 0.2771 0.7958
```

(10)
The following is a DFT calculation (PBE-GGA) of a relaxed Sr5Te4O crystal.

Output
Uncorrected formation energy (kJ/mol of formula units): -1750
Mass density (g cm⁻³): 4.7
Electronic total energy (eV per atom): -4.41
Total moment (μB per formula unit): 0.000

```
data_Sr5Te4O
_cell_length_a 10.1169
_cell_length_b 10.1169
_cell_length_c 6.6800
_cell_angle_alpha 90.00
_cell_angle_beta 90.00
_cell_angle_gamma 90.00
_space_group_name_H-M_alt 'I 4'
_space_group_IT_number 79
loop_
_space_group_symop_operation_xyz
'x,y,z'
'-y,x,z'
'-x,-y,z'
'y,-x,z'
'x+1/2,y+1/2,z+1/2'
'-y+1/2,x+1/2,z+1/2'
'-x+1/2,-y+1/2,z+1/2'
'y+1/2,-x+1/2,z+1/2'
loop_
_atom_site_label
_atom_site_type_symbol
_atom_site_fract_x
_atom_site_fract_y
_atom_site_fract_z
Sr1 Sr 0.0000 0.0000 0.0000
Sr2 Sr 0.0887 0.7379 0.5840
Te1 Te 0.0908 0.6986 0.0873
O1 O 0.0000 0.0000 0.6421
```

(11)
The following is a DFT calculation (PBE-GGA) of a relaxed SrTe2O6 crystal.

Output
Uncorrected formation energy (kJ/mol of formula units): -1223
Mass density (g cm⁻³): 4.9
Electronic total energy (eV per atom): -5.60
Total moment (μB per formula unit): 0.000

```
data_SrTe2O6
_cell_length_a 10.7211
_cell_length_b 4.0034
_cell_length_c 7.8822
_cell_angle_alpha 90.00
_cell_angle_beta 118.79
_cell_angle_gamma 90.00
_space_group_name_H-M_alt 'C 1 2/m 1'
_space_group_IT_number 12
loop_
_space_group_symop_operation_xyz
'x,y,z'
'-x,-y,-z'
'-x,y,-z'
'x,-y,z'
'x+1/2,y+1/2,z'
'-x+1/2,-y+1/2,-z'
'-x+1/2,y+1/2,-z'
'x+1/2,-y+1/2,z'
loop_
_atom_site_label
_atom_site_type_symbol
_atom_site_fract_x
_atom_site_fract_y
_atom_site_fract_z
Sr1 Sr 0.0000 0.0000 0.0000
Te1 Te 0.1753 0.0000 0.6280
O1 O 0.0217 0.0000 0.6854
O2 O 0.1679 0.5000 0.1212
O3 O 0.1941 0.5000 0.5840
```

(12)
The following is a DFT calculation (PBE-GGA) of a relaxed Sr3Te2O8 crystal.

Output
Uncorrected formation energy (kJ/mol of formula units): -2359
Mass density (g cm⁻³): 5.0
Electronic total energy (eV per atom): -5.80
Total moment (μB per formula unit): 0.000

```
data_Sr3Te2O8
_cell_length_a 6.2680
_cell_length_b 6.2680
_cell_length_c 19.1051
_cell_angle_alpha 90.00
_cell_angle_beta 90.00
_cell_angle_gamma 120.00
_space_group_name_H-M_alt 'R -3 m'
_space_group_IT_number 166
_space_group_name_Hall '-R 3 2"'
loop_
_atom_site_label
_atom_site_type_symbol
_atom_site_fract_x
_atom_site_fract_y
_atom_site_fract_z
Sr1 Sr 0.0000 0.0000 0.0000
Sr2 Sr 0.0000 0.0000 0.2015
Te1 Te 0.0000 0.0000 0.4229
O1 O 0.0000 0.0000 0.3256
O2 O 0.0206 0.5103 0.7665
```

(13)
The following is a DFT calculation (PBE-GGA) of a relaxed SrTeO2 crystal.

Output
Uncorrected formation energy (kJ/mol of formula units): -493
Mass density (g cm⁻³): 5.0
Electronic total energy (eV per atom): -4.96
Total moment (μB per formula unit): 0.000

```
data_SrTeO2
_cell_length_a 4.9405
_cell_length_b 4.9405
_cell_length_c 13.4489
_cell_angle_alpha 90.00
_cell_angle_beta 90.00
_cell_angle_gamma 90.00
_space_group_name_H-M_alt 'I -4 2 d'
_space_group_IT_number 122
_space_group_name_Hall 'I -4 2bw'
loop_
_atom_site_label
_atom_site_type_symbol
_atom_site_fract_x
_atom_site_fract_y
_atom_site_fract_z
Sr1 Sr 0.0000 0.0000 0.0000
Te1 Te 0.0000 0.0000 0.5000
O1 O 0.2069 0.2500 0.6250
```